A plane-wave DFT calculation with PBE was carried out for a geometry-optimized Th2InGaCo structure.

Summary:
SG: No. 63
electronic total energy: -5.92 eV per atom
N(E_F): 8.70 states/eV per cell
density: 9.77 g cm⁻³

a = 4.2466 Å, b = 7.7039 Å, c = 9.1200 Å
α = 126.26°, β = 90.00°, γ = 90.00°
Fractional coordinates of all 10 atoms:
Co (0.2500, 0.8912, 0.9455)
Co (0.7500, 0.1088, 0.0545)
Th (0.2500, 0.2410, 0.9212)
Ga (0.2500, 0.5019, 0.7507)
Ga (0.7500, 0.4981, 0.2493)
Th (0.7500, 0.7590, 0.0788)
In (0.7500, 0.1885, 0.5945)
Th (0.2500, 0.2406, 0.3198)
Th (0.7500, 0.7594, 0.6802)
In (0.2500, 0.8115, 0.4055)

A plane-wave DFT calculation with PBE was carried out for a geometry-optimized Sb3PBr structure.

Summary:
SG: No. 221
energy above the most stable polymorph in this dataset: 0.849 eV/atom
ΔE_f (raw): 6.890 eV/f.u.
electronic total energy: -2.51 eV per atom
N(E_F): 6.32 states/eV per cell
density: 4.88 g cm⁻³

a = 5.4513 Å, b = 5.4513 Å, c = 5.4513 Å
α = 90.00°, β = 90.00°, γ = 90.00°
Fractional coordinates of all 5 atoms:
P (0.5000, 0.5000, 0.5000)
Br (0.0000, 0.0000, 0.0000)
Sb (0.5000, 0.0000, 0.0000)
Sb (0.0000, 0.5000, 0.0000)
Sb (0.0000, 0.0000, 0.5000)

A plane-wave DFT calculation with PBE was carried out for a geometry-optimized Tb3Y2HoEr6 structure.

Summary:
SG: No. 12
electronic total energy: -4.88 eV per atom
N(E_F): 16.76 states/eV per cell
density: 8.10 g cm⁻³

a = 6.1169 Å, b = 6.1169 Å, c = 11.7016 Å
α = 94.99°, β = 94.99°, γ = 119.95°
Fractional coordinates of all 12 atoms:
Ho (0.0000, 0.0000, 0.0000)
Y (0.6667, 0.3333, 0.0000)
Er (0.0837, 0.4163, 0.2502)
Er (0.4163, 0.0837, 0.2502)
Y (0.3333, 0.6667, 0.0000)
Er (0.7511, 0.7511, 0.2502)
Tb (0.1667, 0.8333, 0.5000)
Tb (0.5000, 0.5000, 0.5000)
Tb (0.8333, 0.1667, 0.5000)
Er (0.2489, 0.2489, 0.7498)
Er (0.5837, 0.9163, 0.7498)
Er (0.9163, 0.5837, 0.7498)

Q: Look up the electronic total energy of the second one.
A: -2.51 eV per atom

Q: The highest density belongs to which entry?
A: Th2InGaCo